A plane-wave DFT calculation with PBE-GGA was carried out for a relaxed structure of LiInTc2.

## Properties
Uncorrected energy (eV per atom): -5.892
DOS(E_F) (states/eV per cell): 5.13
Total magnetization (μB per atom): 0.0000
SG: I-42d (122)

a = 3.7222 Å, b = 3.7222 Å, c = 10.1100 Å
α = 79.39°, β = 79.39°, γ = 90.00°
Fractional positions:
In1 0.0000 0.0000 0.0000
In2 0.7500 0.2500 0.5000
Li1 0.2500 0.7500 0.5000
Li2 0.5000 0.5000 0.0000
Tc1 0.8750 0.4211 0.7500
Tc2 0.3750 0.8289 0.7500
Tc3 0.5789 0.6250 0.2500
Tc4 0.1711 0.1250 0.2500